Record 1
VASP calculation (PBE-GGA) on an optimized crystal structure of K2TaBr.

a = 9.046 Å, b = 9.046 Å, c = 9.046 Å
α = 94.56°, β = 94.56°, γ = 147.25°
Sites, in units of the cell vectors:
K 0.375 0.224 0.349
K 0.776 0.125 0.151
K 0.875 0.026 0.651
K 0.974 0.625 0.849
Ta 0.250 0.750 0.500
Ta 0.500 0.500 0.000
Br 0.000 0.000 0.000
Br 0.750 0.250 0.500

Properties
For the total energy, the calculation gives -25.54 eV/cell. The calculation puts the volume at 384.24 Å³/cell. The value obtained for the energy above the most stable polymorph in this dataset is 395.0 meV per atom. The uncorrected formation energy comes out at 0.738 eV per atom. For the total moment, the calculation gives 7.324 μB/cell.


Record 2
VASP calculation (PBE-GGA) on an optimized crystal structure of K2TaBr.

a = 5.915 Å, b = 5.915 Å, c = 5.915 Å
α = 60.00°, β = 60.00°, γ = 60.00°
Sites, in units of the cell vectors:
K 0.000 0.000 0.000
K 0.250 0.250 0.250
Ta 0.750 0.750 0.750
Br 0.500 0.500 0.500

Properties
For the total energy, the calculation gives -11.86 eV/cell. The calculation puts the volume at 146.37 Å³/cell. The value obtained for the energy above the most stable polymorph in this dataset is 621.6 meV per atom. The uncorrected formation energy comes out at 0.965 eV per atom. For the total moment, the calculation gives 4.003 μB/cell.


Record 3
VASP calculation (PBE-GGA) on an optimized crystal structure of K2TaBr.

a = 6.333 Å, b = 6.333 Å, c = 3.495 Å
α = 90.00°, β = 90.00°, γ = 90.37°
Sites, in units of the cell vectors:
K 0.000 0.500 0.000
K 0.500 0.000 0.000
Ta 0.000 0.000 0.500
Br 0.500 0.500 0.500

Properties
For the total energy, the calculation gives -13.11 eV/cell. The calculation puts the volume at 140.15 Å³/cell. The value obtained for the energy above the most stable polymorph in this dataset is 309.2 meV per atom. The uncorrected formation energy comes out at 0.652 eV per atom. For the total moment, the calculation gives 4.445 μB/cell.


Record 4
VASP calculation (PBE-GGA) on an optimized crystal structure of K2TaBr.

a = 3.350 Å, b = 3.350 Å, c = 11.500 Å
α = 90.00°, β = 90.00°, γ = 90.00°
Sites, in units of the cell vectors:
K 0.000 0.000 0.000
K 0.500 0.500 0.435
Ta 0.000 0.000 0.692
Br 0.500 0.500 0.172

Properties
For the total energy, the calculation gives -13.72 eV/cell. The calculation puts the volume at 129.07 Å³/cell. The value obtained for the energy above the most stable polymorph in this dataset is 157.6 meV per atom. The uncorrected formation energy comes out at 0.501 eV per atom. For the total moment, the calculation gives 1.788 μB/cell.


Record 5
VASP calculation (PBE-GGA) on an optimized crystal structure of K2TaBr.

a = 6.023 Å, b = 6.023 Å, c = 6.023 Å
α = 60.00°, β = 60.00°, γ = 60.00°
Sites, in units of the cell vectors:
K 0.250 0.250 0.250
K 0.750 0.750 0.750
Ta 0.000 0.000 0.000
Br 0.500 0.500 0.500

Properties
For the total energy, the calculation gives -12.31 eV/cell. The calculation puts the volume at 154.46 Å³/cell. The value obtained for the energy above the most stable polymorph in this dataset is 509.3 meV per atom. The uncorrected formation energy comes out at 0.852 eV per atom. For the total moment, the calculation gives 4.000 μB/cell.


Record 6
VASP calculation (PBE-GGA) on an optimized crystal structure of KTa3Br.

a = 4.910 Å, b = 4.910 Å, c = 4.910 Å
α = 90.00°, β = 90.00°, γ = 90.00°
Sites, in units of the cell vectors:
K 0.000 0.000 0.000
Ta 0.000 0.500 0.500
Ta 0.500 0.000 0.500
Ta 0.500 0.500 0.000
Br 0.500 0.500 0.500

Properties
For the total energy, the calculation gives -29.15 eV/cell. The calculation puts the volume at 118.34 Å³/cell. The value obtained for the energy above the most stable polymorph in this dataset is 0.0 meV per atom. The uncorrected formation energy comes out at 1.837 eV per atom. For the total moment, the calculation gives 0.020 μB/cell.


Record 7
VASP calculation (PBE-GGA) on an optimized crystal structure of K2TbBr5.

a = 13.582 Å, b = 9.097 Å, c = 8.562 Å
α = 90.00°, β = 90.00°, γ = 90.00°
Sites, in units of the cell vectors:
K 0.172 0.005 0.063
K 0.172 0.495 0.063
K 0.328 0.505 0.563
K 0.328 0.995 0.563
K 0.672 0.005 0.437
K 0.672 0.495 0.437
K 0.828 0.505 0.937
K 0.828 0.995 0.937
Tb 0.005 0.250 0.576
Tb 0.495 0.750 0.076
Tb 0.505 0.250 0.924
Tb 0.995 0.750 0.424
Br 0.011 0.250 0.916
Br 0.070 0.545 0.666
Br 0.070 0.955 0.666
Br 0.180 0.250 0.388
Br 0.200 0.750 0.348
Br 0.300 0.250 0.848
Br 0.320 0.750 0.888
Br 0.430 0.045 0.166
Br 0.430 0.455 0.166
Br 0.489 0.750 0.416
Br 0.511 0.250 0.584
Br 0.570 0.545 0.834
Br 0.570 0.955 0.834
Br 0.680 0.250 0.112
Br 0.700 0.750 0.152
Br 0.800 0.250 0.652
Br 0.820 0.750 0.612
Br 0.930 0.045 0.334
Br 0.930 0.455 0.334
Br 0.989 0.750 0.084

Properties
For the total energy, the calculation gives -119.46 eV/cell. The calculation puts the volume at 1057.94 Å³/cell. The uncorrected formation energy comes out at -1.834 eV per atom. For the total moment, the calculation gives 0.000 μB/cell.


Record 8
VASP calculation (PBE-GGA) on an optimized crystal structure of K2TbBr4.

a = 9.368 Å, b = 9.368 Å, c = 9.368 Å
α = 144.98°, β = 144.98°, γ = 50.37°
Sites, in units of the cell vectors:
K 0.139 0.139 0.000
K 0.861 0.861 0.000
Tb 0.500 0.500 0.000
Br 0.000 0.500 0.500
Br 0.331 0.331 0.000
Br 0.500 0.000 0.500
Br 0.669 0.669 0.000

Properties
For the total energy, the calculation gives -24.54 eV/cell. The calculation puts the volume at 269.48 Å³/cell. The uncorrected formation energy comes out at -1.574 eV per atom. For the total moment, the calculation gives 0.388 μB/cell.


Record 9
VASP calculation (PBE-GGA) on an optimized crystal structure of KTbVBr6.

a = 7.046 Å, b = 7.046 Å, c = 14.914 Å
α = 90.00°, β = 90.00°, γ = 120.00°
Sites, in units of the cell vectors:
K 0.000 0.000 0.000
K 0.000 0.000 0.500
Tb 0.333 0.667 0.250
Tb 0.667 0.333 0.750
V 0.333 0.667 0.750
V 0.667 0.333 0.250
Br 0.018 0.374 0.645
Br 0.018 0.644 0.855
Br 0.356 0.374 0.855
Br 0.356 0.982 0.645
Br 0.374 0.018 0.145
Br 0.374 0.356 0.355
Br 0.626 0.644 0.645
Br 0.626 0.982 0.855
Br 0.644 0.018 0.355
Br 0.644 0.626 0.145
Br 0.982 0.356 0.145
Br 0.982 0.626 0.355

Properties
For the total energy, the calculation gives -76.72 eV/cell. The calculation puts the volume at 641.25 Å³/cell. The uncorrected formation energy comes out at -1.497 eV per atom. For the total moment, the calculation gives 6.000 μB/cell.


Record 10
VASP calculation (PBE-GGA) on an optimized crystal structure of KTcBr.

a = 4.446 Å, b = 4.446 Å, c = 5.224 Å
α = 90.00°, β = 90.00°, γ = 120.00°
Sites, in units of the cell vectors:
K 0.000 0.000 0.000
Tc 0.667 0.333 0.500
Br 0.333 0.667 0.500

Properties
For the total energy, the calculation gives -11.12 eV/cell. The calculation puts the volume at 89.42 Å³/cell. The value obtained for the energy above the most stable polymorph in this dataset is 42.2 meV per atom. The uncorrected formation energy comes out at 0.673 eV per atom. For the total moment, the calculation gives 2.770 μB/cell.


Record 11
VASP calculation (PBE-GGA) on an optimized crystal structure of KTc2Br.

a = 3.699 Å, b = 3.699 Å, c = 9.034 Å
α = 105.54°, β = 105.54°, γ = 58.40°
Sites, in units of the cell vectors:
K 0.000 0.000 0.000
Tc 0.555 0.555 0.467
Tc 0.828 0.828 0.341
Br 0.208 0.208 0.723

Properties
For the total energy, the calculation gives -22.62 eV/cell. The calculation puts the volume at 100.19 Å³/cell. The value obtained for the energy above the most stable polymorph in this dataset is 0.0 meV per atom. The uncorrected formation energy comes out at 0.220 eV per atom. For the total moment, the calculation gives 0.000 μB/cell.


Record 12
VASP calculation (PBE-GGA) on an optimized crystal structure of KTc2Br.

a = 10.115 Å, b = 10.115 Å, c = 10.115 Å
α = 17.09°, β = 17.09°, γ = 17.09°
Sites, in units of the cell vectors:
K 0.000 0.000 0.000
Tc 0.233 0.233 0.233
Tc 0.767 0.767 0.767
Br 0.500 0.500 0.500

Properties
For the total energy, the calculation gives -18.47 eV/cell. The calculation puts the volume at 77.97 Å³/cell. The value obtained for the energy above the most stable polymorph in this dataset is 1038.0 meV per atom. The uncorrected formation energy comes out at 1.258 eV per atom. For the total moment, the calculation gives 0.000 μB/cell.